--- 1 ---
First-principles (GGA-PBE) data for an optimized crystal structure of BaLaTc2, as listed in the Alexandria database.

Cell and atoms, written as extended XYZ:
```
4
Lattice="-1.937 2.498 6.342 1.937 -2.498 6.342 1.937 2.498 -6.342" Properties=species:S:1:pos:R:3 pbc="T T T"
Ba 0.000 0.000 0.000
La 0.000 2.498 2.937
Tc 1.937 0.000 3.433
Tc 0.000 0.000 4.749
```

Total moment (μB per atom): 0.00
DOS at the Fermi energy (states/eV/f.u.): 5.1

--- 2 ---
First-principles (GGA-PBE) data for an optimized crystal structure of BaLaTc2, as listed in the Alexandria database.

Cell and atoms, written as extended XYZ:
```
8
Lattice="-2.559 2.559 9.334 2.559 -2.559 9.334 2.559 2.559 -9.334" Properties=species:S:1:pos:R:3 pbc="T T T"
Ba 0.000 0.000 0.000
Ba 0.000 2.559 4.667
La 2.559 0.000 4.667
La 0.000 0.000 9.334
Tc 1.280 2.550 -2.334
Tc 2.569 1.280 2.334
Tc 1.280 0.009 7.001
Tc -0.009 1.280 11.668
```

Total moment (μB per atom): 0.00
DOS at the Fermi energy (states/eV/f.u.): 4.6

1 is the most stable structure; the next one sits 519 meV/atom above it.

--- 1 ---
First-principles (GGA-PBE) data for an optimized crystal structure of BaLaTc2, as listed in the Alexandria database.

Cell and atoms, written as extended XYZ:
```
4
Lattice="5.168 -2.099 0.000 5.168 2.099 0.000 -4.186 0.000 6.220" Properties=species:S:1:pos:R:3 pbc="T T T"
Ba 0.000 0.000 0.000
La 3.075 0.000 3.110
Tc 0.370 0.000 3.677
Tc 5.780 0.000 2.544
```

Total moment (μB per atom): 0.00
DOS at the Fermi energy (states/eV/f.u.): 3.7

--- 2 ---
First-principles (GGA-PBE) data for an optimized crystal structure of BaLaTc2, as listed in the Alexandria database.

Cell and atoms, written as extended XYZ:
```
4
Lattice="1.720 0.993 9.359 -1.720 0.993 9.359 0.000 -1.986 9.359" Properties=species:S:1:pos:R:3 pbc="T T T"
Ba 0.000 0.000 0.000
La 0.000 0.000 14.038
Tc 0.000 0.000 6.722
Tc 0.000 0.000 21.355
```

Total moment (μB per atom): 0.00
DOS at the Fermi energy (states/eV/f.u.): 6.7

1 is the most stable structure; the next one sits 554 meV/atom above it.

--- 1 ---
First-principles (GGA-PBE) data for an optimized crystal structure of BaLa2Tc, as listed in the Alexandria database.

Cell and atoms, written as extended XYZ:
```
4
Lattice="2.281 -2.881 0.000 2.281 2.881 0.000 0.000 0.000 10.725" Properties=species:S:1:pos:R:3 pbc="T T T"
Ba 0.000 0.000 0.000
La 2.281 0.000 3.624
La 2.281 0.000 7.101
Tc 0.000 0.000 5.362
```

Total moment (μB per atom): 0.00
DOS at the Fermi energy (states/eV/f.u.): 5.8

--- 2 ---
First-principles (GGA-PBE) data for an optimized crystal structure of BaLa2Tc, as listed in the Alexandria database.

Cell and atoms, written as extended XYZ:
```
4
Lattice="-1.979 3.271 5.451 1.979 -3.271 5.451 1.979 3.271 -5.451" Properties=species:S:1:pos:R:3 pbc="T T T"
Ba 0.000 0.000 0.000
La 1.979 0.000 3.555
La 0.000 3.271 1.896
Tc 0.000 0.000 5.451
```

Total moment (μB per atom): 0.00
DOS at the Fermi energy (states/eV/f.u.): 4.0

--- 3 ---
First-principles (GGA-PBE) data for an optimized crystal structure of BaLa2Tc, as listed in the Alexandria database.

Cell and atoms, written as extended XYZ:
```
8
Lattice="0.000 5.830 5.830 5.830 0.000 5.830 5.830 5.830 0.000" Properties=species:S:1:pos:R:3 pbc="T T T"
Ba 1.458 1.458 1.458
Ba 10.203 10.203 10.203
La 5.830 2.915 2.915
La 2.915 5.830 2.915
La 2.915 2.915 5.830
La 5.830 5.830 5.830
Tc 4.373 4.373 4.373
Tc 7.288 7.288 7.288
```

Total moment (μB per atom): 0.00
DOS at the Fermi energy (states/eV/f.u.): 4.4

1 is the most stable structure; the next one sits 80 meV/atom above it.

--- 1 ---
First-principles (GGA-PBE) data for an optimized crystal structure of BaLa3Tc, as listed in the Alexandria database.

Cell and atoms, written as extended XYZ:
```
5
Lattice="5.720 0.000 0.000 0.000 5.720 0.000 0.000 0.000 5.720" Properties=species:S:1:pos:R:3 pbc="T T T"
Ba 0.000 0.000 0.000
La 0.000 2.860 2.860
La 2.860 0.000 2.860
La 2.860 2.860 0.000
Tc 2.860 2.860 2.860
```

Total moment (μB per atom): 0.00
DOS at the Fermi energy (states/eV/f.u.): 4.5

--- 2 ---
First-principles (GGA-PBE) data for an optimized crystal structure of BaLa3Tc, as listed in the Alexandria database.

Cell and atoms, written as extended XYZ:
```
10
Lattice="8.186 -4.144 0.000 8.186 4.144 0.000 -0.001 0.000 5.638" Properties=species:S:1:pos:R:3 pbc="T T T"
Ba 0.000 0.000 0.000
Ba 12.171 0.000 0.000
La 6.088 1.882 2.777
La 4.052 0.000 5.605
La 10.182 2.073 2.773
La 8.122 0.000 5.606
La 6.088 -1.882 2.777
La 10.182 -2.073 2.773
Tc 3.728 0.000 2.635
Tc 8.454 0.000 2.633
```

Total moment (μB per atom): 0.00
DOS at the Fermi energy (states/eV/f.u.): 4.3

--- 3 ---
First-principles (GGA-PBE) data for an optimized crystal structure of BaLa3Tc, as listed in the Alexandria database.

Cell and atoms, written as extended XYZ:
```
5
Lattice="5.834 0.000 0.000 0.000 5.834 0.000 0.000 0.000 5.834" Properties=species:S:1:pos:R:3 pbc="T T T"
Ba 0.000 0.000 0.000
La 0.000 0.000 2.917
La 0.000 2.917 0.000
La 2.917 0.000 0.000
Tc 2.917 2.917 2.917
```

Total moment (μB per atom): 0.62
DOS at the Fermi energy (states/eV/f.u.): 9.7

2 is the most stable structure; the next one sits 25 meV/atom above it.